[1]
VASP calculation (GGA-PBE) on a relaxed structure of Cs2Ag2Cl5.

Summary:
formation energy (no corrections) = -1.152 eV/atom

a b c (Å): 5.107 5.107 11.018
angles (deg): 90.00 90.00 90.00
Space group P4/mmm (No. 123)
Unique sites:
Cs (0.000, 0.000, 0.000) [1 per cell]
Cs (0.000, 0.000, 0.500) [1 per cell]
Ag (0.500, 0.500, 0.247) [2 per cell]
Cl (0.000, 0.500, 0.278) [4 per cell]
Cl (0.500, 0.500, 0.000) [1 per cell]

[2]
VASP calculation (GGA-PBE) on a relaxed structure of K2TlHg.

Summary:
energy above the most stable polymorph in this dataset = 0.21 eV/f.u.

a b c (Å): 8.628 9.039 3.990
angles (deg): 90.00 90.00 90.00
Space group Cmmm (No. 65)
Unique sites:
K (0.250, 0.250, 0.000) [4 per cell]
Tl (0.000, 0.000, 0.500) [2 per cell]
Hg (0.000, 0.500, 0.500) [2 per cell]

[3]
VASP calculation (GGA-PBE) on a relaxed structure of LaCdTePH.

Summary:
energy above the most stable polymorph in this dataset = 0.76 eV/f.u.

a b c (Å): 7.556 4.382 7.098
angles (deg): 90.00 90.60 90.00
Space group Cm (No. 8)
Unique sites:
La (0.000, 0.000, 0.000) [2 per cell]
Cd (0.496, 0.500, 0.463) [2 per cell]
Te (0.332, 0.000, 0.711) [2 per cell]
P (0.164, 0.500, 0.250) [2 per cell]
H (0.168, 0.500, 0.036) [2 per cell]

[4]
VASP calculation (GGA-PBE) on a relaxed structure of Zn2Cd2AsO6.

Summary:
formation energy (no corrections) = -1.022 eV/atom

a b c (Å): 5.2869 5.2869 5.5830
angles (deg): 90.00 90.00 120.00
Space group P-31m (No. 162)
Unique sites:
Zn (0.3333, 0.6667, 0.0000) [2 per cell]
Cd (0.3333, 0.6667, 0.5000) [2 per cell]
As (0.0000, 0.0000, 0.0000) [1 per cell]
O (0.0000, 0.3066, 0.1969) [6 per cell]

[5]
VASP calculation (GGA-PBE) on a relaxed structure of ThRu2Au.

Summary:
final energy = -0.55452 Ry/atom

a b c (Å): 4.324 4.324 3.956
angles (deg): 90.00 90.00 90.00
Space group P4/mmm (No. 123)
Unique sites:
Th (0.000, 0.000, 0.000) [1 per cell]
Ru (0.000, 0.500, 0.500) [2 per cell]
Au (0.500, 0.500, 0.000) [1 per cell]

[6]
VASP calculation (GGA-PBE) on a relaxed structure of HgTeRu2.

Summary:
formation energy (no corrections) = 0.371 eV/atom
energy above the most stable polymorph in this dataset = 0.00 eV/f.u.

a b c (Å): 3.223 3.223 6.739
angles (deg): 90.00 90.00 90.00
Space group P4/mmm (No. 123)
Unique sites:
Hg (0.000, 0.000, 0.000) [1 per cell]
Te (0.000, 0.000, 0.500) [1 per cell]
Ru (0.500, 0.500, 0.273) [2 per cell]

[7]
VASP calculation (GGA-PBE) on a relaxed structure of HoBRh6.

Summary:
final energy = -0.52443 Ry/atom

a b c (Å): 5.5785 5.5785 14.2163
angles (deg): 90.00 90.00 120.00
Space group R-3m (No. 166, hexagonal axes)
Unique sites:
Ho (0.0000, 0.0000, 0.0000) [3 per cell]
B (0.0000, 0.0000, 0.5000) [3 per cell]
Rh (0.0215, 0.5108, 0.9123) [18 per cell]

[8]
VASP calculation (GGA-PBE) on a relaxed structure of Nd3W5N12.

Summary:
formation energy (no corrections) = -0.776 eV/atom

a b c (Å): 13.020 13.020 13.020
angles (deg): 90.00 90.00 90.00
Space group Ia-3d (No. 230)
Unique sites:
Nd (0.000, 0.250, 0.125) [24 per cell]
W (0.000, 0.000, 0.000) [16 per cell]
W (0.000, 0.250, 0.375) [24 per cell]
N (0.034, 0.047, 0.647) [96 per cell]

[9]
VASP calculation (GGA-PBE) on a relaxed structure of InIrW2.

Summary:
final energy = -0.66929 Ry/atom

a b c (Å): 2.816 4.257 5.521
angles (deg): 90.00 90.19 90.00
Space group P2/m (No. 10)
Unique sites:
In (0.000, 0.000, 0.000) [1 per cell]
Ir (0.000, 0.000, 0.500) [1 per cell]
W (0.499, 0.500, 0.741) [2 per cell]

[10]
VASP calculation (GGA-PBE) on a relaxed structure of ReSiP2O.

Summary:
formation energy (no corrections) = 0.145 eV/atom
energy above the most stable polymorph in this dataset = 0.00 eV/f.u.

a b c (Å): 4.778 4.778 3.702
angles (deg): 90.00 90.00 90.00
Space group P4/mmm (No. 123)
Unique sites:
Re (0.000, 0.000, 0.000) [1 per cell]
Si (0.500, 0.500, 0.500) [1 per cell]
P (0.000, 0.500, 0.000) [2 per cell]
O (0.000, 0.000, 0.500) [1 per cell]

[11]
VASP calculation (GGA-PBE) on a relaxed structure of SmRe2Si3.

Summary:
formation energy (no corrections) = -0.370 eV/atom

a b c (Å): 9.611 7.644 5.575
angles (deg): 90.00 90.00 90.00
Space group Cmcm (No. 63)
Unique sites:
Sm (0.000, 0.165, 0.250) [4 per cell]
Re (0.207, 0.500, 0.000) [8 per cell]
Si (0.000, 0.438, 0.750) [4 per cell]
Si (0.172, 0.214, 0.750) [8 per cell]

[12]
VASP calculation (GGA-PBE) on a relaxed structure of TaGa2GeO.

Summary:
formation energy (no corrections) = -0.185 eV/atom

a b c (Å): 5.318 5.318 3.823
angles (deg): 90.00 90.00 90.00
Space group P4/mmm (No. 123)
Unique sites:
Ta (0.000, 0.000, 0.000) [1 per cell]
Ga (0.000, 0.500, 0.000) [2 per cell]
Ge (0.500, 0.500, 0.500) [1 per cell]
O (0.000, 0.000, 0.500) [1 per cell]

[13]
VASP calculation (GGA-PBE) on a relaxed structure of Y2Ga12Pd.

Summary:
final energy = -0.29498 Ry/atom

a b c (Å): 6.140 6.140 15.302
angles (deg): 90.00 90.00 90.00
Space group P4/nbm (No. 125, origin choice 2)
Unique sites:
Y (0.250, 0.750, 0.242) [4 per cell]
Ga (0.000, 0.000, 0.091) [8 per cell]
Ga (0.085, 0.585, 0.431) [8 per cell]
Ga (0.250, 0.250, 0.188) [4 per cell]
Ga (0.250, 0.250, 0.348) [4 per cell]
Pd (0.250, 0.750, 0.000) [2 per cell]

[14]
VASP calculation (GGA-PBE) on a relaxed structure of Cr2SbP.

Summary:
formation energy (no corrections) = 0.055 eV/atom

a b c (Å): 8.181 3.106 5.425
angles (deg): 90.00 104.74 90.00
Space group Cm (No. 8)
Unique sites:
Cr (0.000, 0.000, 0.000) [2 per cell]
Cr (0.242, 0.000, 0.675) [2 per cell]
Sb (0.265, 0.500, 0.257) [2 per cell]
P (0.028, 0.500, 0.705) [2 per cell]

[15]
VASP calculation (GGA-PBE) on a relaxed structure of Tb16Ho6Er7.

Summary:
final energy = -0.32118 Ry/atom

a b c (Å): 15.624 15.624 15.624
angles (deg): 90.00 90.00 90.00
Space group Fm-3m (No. 225)
Unique sites:
Tb (0.123, 0.123, 0.123) [32 per cell]
Tb (0.151, 0.151, 0.349) [32 per cell]
Ho (0.000, 0.000, 0.276) [24 per cell]
Er (0.000, 0.000, 0.000) [4 per cell]
Er (0.000, 0.250, 0.250) [24 per cell]

[16]
VASP calculation (GGA-PBE) on a relaxed structure of Sr2MgTlIn6.

Summary:
final energy = -0.18225 Ry/atom

a b c (Å): 7.5407 7.5407 39.0557
angles (deg): 90.00 90.00 120.00
Space group R-3m (No. 166, hexagonal axes)
Unique sites:
Sr (0.0000, 0.0000, 0.1045) [6 per cell]
Sr (0.0000, 0.0000, 0.2784) [6 per cell]
Mg (0.0000, 0.0000, 0.0000) [3 per cell]
Mg (0.0000, 0.0000, 0.5000) [3 per cell]
Tl (0.0000, 0.0000, 0.4262) [6 per cell]
In (0.0592, 0.5296, 0.3043) [18 per cell]
In (0.0702, 0.5351, 0.8620) [18 per cell]

[17]
VASP calculation (GGA-PBE) on a relaxed structure of ScBe2Al.

Summary:
final energy = -0.33189 Ry/atom

a b c (Å): 3.7276 3.7276 14.7411
angles (deg): 90.00 90.00 120.00
Space group R3m (No. 160, hexagonal axes)
Unique sites:
Sc (0.0000, 0.0000, 0.0000) [3 per cell]
Be (0.0000, 0.0000, 0.2122) [3 per cell]
Be (0.0000, 0.0000, 0.5451) [3 per cell]
Al (0.0000, 0.0000, 0.8028) [3 per cell]

[18]
VASP calculation (GGA-PBE) on a relaxed structure of NaErZnAu.

Summary:
final energy = -0.21516 Ry/atom

a b c (Å): 6.995 6.995 6.995
angles (deg): 90.00 90.00 90.00
Space group F-43m (No. 216)
Unique sites:
Na (0.000, 0.000, 0.000) [4 per cell]
Er (0.000, 0.000, 0.500) [4 per cell]
Zn (0.250, 0.250, 0.750) [4 per cell]
Au (0.250, 0.250, 0.250) [4 per cell]

[19]
VASP calculation (GGA-PBE) on a relaxed structure of AcPmPrZn.

Summary:
energy above the most stable polymorph in this dataset = 1.07 eV/f.u.

a b c (Å): 7.981 7.981 7.981
angles (deg): 90.00 90.00 90.00
Space group F-43m (No. 216)
Unique sites:
Ac (0.000, 0.000, 0.000) [4 per cell]
Pm (0.250, 0.250, 0.750) [4 per cell]
Pr (0.250, 0.250, 0.250) [4 per cell]
Zn (0.000, 0.000, 0.500) [4 per cell]

[20]
VASP calculation (GGA-PBE) on a relaxed structure of KYPt.

Summary:
energy above the most stable polymorph in this dataset = 0.20 eV/f.u.

a b c (Å): 4.0790 4.0790 7.4526
angles (deg): 90.00 90.00 120.00
Space group P3m1 (No. 156)
Unique sites:
K (0.0000, 0.0000, 0.0000) [1 per cell]
Y (0.3333, 0.6667, 0.4956) [1 per cell]
Pt (0.6667, 0.3333, 0.3098) [1 per cell]